Record 1
This record from the Alexandria database describes a geometry-optimized NaNi4B4 structure. The functional is PBE.

Calculated values
**Formation enthalpy at 0 K**: -1.4 eV per formula unit
**Crystal system**: tetragonal

Cell lengths 3.891, 6.889, 6.889 Å; angles 90.00, 90.00, 90.00 degrees
Element x y z (fractional)
Na 0.000 0.000 0.000
Na 0.500 0.500 0.500
Ni 0.380 0.364 0.875
Ni 0.880 0.625 0.864
Ni 0.380 0.636 0.125
Ni 0.120 0.136 0.625
Ni 0.620 0.875 0.636
Ni 0.120 0.864 0.375
Ni 0.880 0.375 0.136
Ni 0.620 0.125 0.364
B 0.613 0.829 0.310
B 0.613 0.171 0.690
B 0.113 0.810 0.671
B 0.887 0.329 0.810
B 0.887 0.671 0.190
B 0.387 0.310 0.171
B 0.387 0.690 0.829
B 0.113 0.190 0.329

---

Record 2
This record from the Alexandria database describes a geometry-optimized NaNiB3 structure. The functional is PBE.

Calculated values
**Relative energy among the computed polymorphs**: 0 meV/atom
**Formation enthalpy at 0 K**: 4.6 eV per formula unit
**Crystal system**: cubic

Cell lengths 3.847, 3.847, 3.847 Å; angles 90.00, 90.00, 90.00 degrees
Element x y z (fractional)
Ni 0.000 0.000 0.000
B 0.000 0.500 0.000
B 0.000 0.000 0.500
B 0.500 0.000 0.000
Na 0.500 0.500 0.500

---

Record 3
This record from the Alexandria database describes a geometry-optimized NaNi3B structure. The functional is PBE.

Calculated values
**Formation enthalpy at 0 K**: 11.7 eV per formula unit
**Crystal system**: cubic

Cell lengths 4.222, 4.222, 4.222 Å; angles 90.00, 90.00, 90.00 degrees
Element x y z (fractional)
Ni 0.000 0.500 0.000
Ni 0.000 0.000 0.500
Ni 0.500 0.000 0.000
B 0.500 0.500 0.500
Na 0.000 0.000 0.000

---

| no. | calculated volume (Å³/cell) | total magnetic moment (μB/f.u.) |
| --- | --- | --- |
| 1 | 185 | 0.000 |
| 2 | 57 | 0.000 |
| 3 | 75 | 0.000 |